(1)
A relaxed NiAsRh2 crystal. Source: the Alexandria database, functional PBE.

Calculated values
density	10.27	g/cm3
space group	Imm2
density of states at the Fermi level	1.512	states/eV/atom
formation energy from the elements	-109	meV per atom

abc: 5.1093 5.1093 5.1093
angles: 147.04 130.22 61.00
Last column: nearest neighbours and their distance in Å.
Fractional coordinates of all 4 atoms:
Ni  0.0000  0.0000  0.0000  2 As 2.37, 4 Rh 2.65
As  0.7877  0.2877  0.5000  2 Ni 2.37, 6 Rh 2.47-2.60
Rh  0.2757  0.7757  0.5000  4 As 2.60, 2 Ni 2.83, 6 Rh 2.87-2.90
Rh  0.5603  0.5603  0.0000  2 As 2.47, 4 Ni 2.65


(2)
A relaxed NiAsRh2 crystal. Source: the Alexandria database, functional PBE.

Calculated values
density	10.07	g/cm3
space group	R3m
density of states at the Fermi level	1.027	states/eV/atom
formation energy from the elements	39	meV per atom

abc: 8.2220 8.2220 8.2220
angles: 19.84 19.84 19.84
Last column: nearest neighbours and their distance in Å.
Fractional coordinates of all 4 atoms:
Ni  0.0000  0.0000  0.0000  3 As 2.42, 3 Rh 2.64
As  0.2594  0.2594  0.2594  3 Ni 2.42, 3 Rh 2.55
Rh  0.5119  0.5119  0.5119  3 As 2.55, 9 Rh 2.78-2.83
Rh  0.7525  0.7525  0.7525  3 Ni 2.64, 9 Rh 2.78-2.83


(3)
A relaxed NiAsRh2 crystal. Source: the Alexandria database, functional PBE.

Calculated values
density	10.25	g/cm3
space group	Amm2
density of states at the Fermi level	1.488	states/eV/atom
formation energy from the elements	-97	meV per atom

abc: 3.8569 5.1834 5.1834
angles: 32.06 90.00 90.00
Last column: nearest neighbours and their distance in Å.
Fractional coordinates of all 4 atoms:
Ni  0.0000  0.0000  0.0000  2 As 2.36, 4 Rh 2.64
As  0.5000  0.8627  0.8627  2 Ni 2.36, 5 Rh 2.53-2.59
Rh  0.0000  0.2666  0.2666  4 As 2.59, 3 Ni 2.66-2.73, 6 Rh 2.86-2.87
Rh  0.5000  0.6090  0.6090  1 As 2.53, 4 Ni 2.64


(4)
A relaxed NiAsRh2 crystal. Source: the Alexandria database, functional PBE.

Calculated values
density	9.87	g/cm3
space group	Cmm2
density of states at the Fermi level	1.562	states/eV/atom
formation energy from the elements	217	meV per atom

abc: 2.7649 2.7649 8.5395
angles: 90.00 90.00 118.97
Last column: nearest neighbours and their distance in Å.
Fractional coordinates of all 4 atoms:
Ni  0.0000  0.0000  0.0000  2 As 2.41, 2 Rh 2.56
As  0.5000  0.5000  0.7705  2 Ni 2.41, 2 Rh 2.55
Rh  0.0000  0.0000  0.5210  2 As 2.55, 8 Rh 2.70-2.81
Rh  0.5000  0.5000  0.2507  2 Ni 2.56, 8 Rh 2.70-2.81


(5)
A relaxed NiAsRh2 crystal. Source: the Alexandria database, functional PBE.

Calculated values
density	7.32	g/cm3
space group	I-42d
density of states at the Fermi level	1.416	states/eV/atom
formation energy from the elements	453	meV per atom

abc: 7.0673 7.0673 7.0673
angles: 138.39 138.39 60.31
Last column: nearest neighbours and their distance in Å.
Fractional coordinates of all 8 atoms:
Ni  0.0000  0.0000  0.0000  4 Rh 2.34
Ni  0.7500  0.2500  0.5000  4 Rh 2.34
As  0.2500  0.7500  0.5000  4 Rh 2.35
As  0.5000  0.5000  0.0000  4 Rh 2.35
Rh  0.1237  0.6250  0.9987  2 Ni 2.34, 2 As 2.35
Rh  0.3750  0.3737  0.4987  2 Ni 2.34, 2 As 2.35
Rh  0.6263  0.1250  0.0013  2 Ni 2.34, 2 As 2.35
Rh  0.8750  0.8763  0.5013  2 Ni 2.34, 2 As 2.35


(6)
A relaxed NiAsRh2 crystal. Source: the Alexandria database, functional PBE.

Calculated values
density	10.05	g/cm3
space group	Pmmm
density of states at the Fermi level	1.216	states/eV/atom
formation energy from the elements	37	meV per atom

abc: 2.8385 4.3383 4.5543
angles: 90.00 90.00 90.00
Last column: nearest neighbours and their distance in Å.
Fractional coordinates of all 4 atoms:
Ni  0.0000  0.0000  0.0000  4 Rh 2.59, 4 As 2.68, 2 Ni 2.84
As  0.5000  0.0000  0.5000  4 Rh 2.59, 4 Ni 2.68, 2 As 2.84
Rh  0.0000  0.5000  0.5000  4 As 2.59, 6 Rh 2.68-2.84
Rh  0.5000  0.5000  0.0000  4 Ni 2.59, 6 Rh 2.68-2.84